[1]
## PmNd3Er2 (PBE)

Data for a relaxed PmNd3Er2 crystal.

Geometry as POSCAR:
```
PmNd3Er2
1.0
-1.141 3.054 1.415
0.986 -0.701 6.772
16.044 7.296 1.650
Pm Nd Er
2 6 4
Cartesian
10.806 6.078 4.520
5.083 3.571 5.317
13.359 6.279 1.680
2.531 3.370 8.156
0.174 1.477 5.880
15.715 8.173 3.957
10.698 6.451 8.091
5.191 3.198 1.745
13.036 8.148 6.314
2.853 1.502 3.522
7.471 5.399 3.296
8.418 4.250 6.540
```

## Properties
Symmetry: C2/m (12)
Size of the total moment (μB per cell): 0.0
Volume (Å³/cell): 411
Energy of formation from the pure elements (eV per atom): 0.106
Raw total energy (eV per atom): -4.59
E above lowest polymorph (meV/atom): 48
Density of states at the Fermi level (states/eV per atom): 1.61

***

[2]
## PmNd3Er3 (PBE)

Data for a relaxed PmNd3Er3 crystal.

Geometry as POSCAR:
```
PmNd3Er3
1.0
8.066 0.786 3.734
2.695 7.643 3.734
1.004 0.786 8.831
Pm Nd Er
2 6 6
Cartesian
4.048 3.171 5.608
7.717 6.045 10.691
7.394 4.948 5.428
3.081 5.994 7.950
5.480 1.556 8.727
6.285 7.659 7.573
8.684 3.222 8.350
4.371 4.268 10.872
7.182 2.621 11.593
4.638 7.859 10.467
9.660 6.345 7.699
2.105 2.871 8.601
7.127 1.357 5.833
4.584 6.595 4.707
```

## Properties
Symmetry: R-3 (148)
Size of the total moment (μB per cell): 0.0
Volume (Å³/cell): 484
Energy of formation from the pure elements (eV per atom): 0.195
Raw total energy (eV per atom): -4.48
E above lowest polymorph (meV/atom): 170
Density of states at the Fermi level (states/eV per atom): 1.44

***

[3]
## Pm3Nd6Er2 (PBE)

Data for a relaxed Pm3Nd6Er2 crystal.

Geometry as POSCAR:
```
Pm3Nd6Er2
1.0
4.820 0.000 0.000
0.000 4.820 0.000
-2.410 -2.410 16.951
Pm Nd Er
3 6 2
Cartesian
0.000 0.000 0.000
2.410 2.410 10.265
0.000 0.000 6.686
0.000 2.410 4.044
2.410 0.000 4.044
2.410 0.000 12.907
0.000 2.410 12.907
2.410 2.410 6.830
0.000 0.000 10.121
0.000 0.000 15.419
2.410 2.410 1.532
```

## Properties
Symmetry: I4/mmm (139)
Size of the total moment (μB per cell): 0.0
Volume (Å³/cell): 394
Energy of formation from the pure elements (eV per atom): 0.277
Raw total energy (eV per atom): -4.45
E above lowest polymorph (meV/atom): 263
Density of states at the Fermi level (states/eV per atom): 1.55

***

[4]
## Pm2NdEr6 (PBE)

Data for a relaxed Pm2NdEr6 crystal.

Geometry as POSCAR:
```
Pm2NdEr6
1.0
3.411 -0.507 -0.262
-1.821 8.859 5.069
-2.689 0.466 10.002
Pm Nd Er
2 1 6
Cartesian
-1.870 6.048 9.960
0.771 2.770 4.849
0.000 0.000 0.000
2.237 2.533 1.473
-3.047 9.084 11.691
-3.336 6.285 13.336
-0.694 3.014 8.224
1.947 -0.266 3.118
-0.406 5.804 6.585
```

## Properties
Symmetry: C2/m (12)
Size of the total moment (μB per cell): 0.0
Volume (Å³/cell): 286
Energy of formation from the pure elements (eV per atom): 0.076
Raw total energy (eV per atom): -4.55
E above lowest polymorph (meV/atom): 0
Density of states at the Fermi level (states/eV per atom): 1.50

***

[5]
## Pm6Nd2Er (PBE)

Data for a relaxed Pm6Nd2Er crystal.

Geometry as POSCAR:
```
Pm6Nd2Er
1.0
3.508 0.510 0.285
-0.910 8.791 -4.531
2.781 -0.065 10.202
Pm Nd Er
6 2 1
Cartesian
4.772 0.386 7.064
1.215 2.977 1.920
0.607 8.850 -1.107
1.453 3.161 -1.355
4.164 6.259 4.037
1.145 6.140 -2.890
2.720 3.056 5.384
2.659 6.180 0.572
0.000 0.000 0.000
```

## Properties
Symmetry: Cmmm (65)
Size of the total moment (μB per cell): 0.0
Volume (Å³/cell): 305
Energy of formation from the pure elements (eV per atom): 0.055
Raw total energy (eV per atom): -4.68
E above lowest polymorph (meV/atom): 0
Density of states at the Fermi level (states/eV per atom): 1.41

***

[6]
## Pm4NdEr2 (PBE)

Data for a relaxed Pm4NdEr2 crystal.

Geometry as POSCAR:
```
Pm4NdEr2
1.0
-0.580 12.132 -3.238
4.882 -11.480 -1.543
-6.420 -1.602 -1.626
Pm Nd Er
8 2 4
Cartesian
-5.127 5.233 -4.009
1.014 -6.636 -2.286
-2.018 -8.288 -3.283
-2.123 6.843 -3.499
-3.182 -2.166 -1.309
1.750 -0.265 -2.941
-1.660 -0.200 -3.816
-0.556 1.159 -0.677
-0.154 -3.392 -3.242
1.691 3.310 -2.852
-1.752 3.335 -3.203
-0.360 9.903 -3.242
0.896 -10.204 -2.669
-3.227 -4.966 -3.477
```

## Properties
Symmetry: Fdd2 (43)
Size of the total moment (μB per cell): 0.0
Volume (Å³/cell): 471
Energy of formation from the pure elements (eV per atom): 0.058
Raw total energy (eV per atom): -4.64
E above lowest polymorph (meV/atom): 0
Density of states at the Fermi level (states/eV per atom): 1.48

***

[7]
## Pm3NdEr4 (PBE)

Data for a relaxed Pm3NdEr4 crystal.

Geometry as POSCAR:
```
Pm3NdEr4
1.0
3.443 0.585 -0.887
1.956 7.515 -2.172
-1.365 1.629 10.420
Er Nd Pm
4 1 3
Cartesian
3.886 7.440 5.295
1.186 3.394 6.824
0.148 2.289 2.066
2.849 6.335 0.537
1.722 0.292 -0.443
-0.682 0.815 5.210
2.017 4.864 3.680
0.978 3.758 -1.086
```

## Properties
Symmetry: P2/m (10)
Size of the total moment (μB per cell): 0.0
Volume (Å³/cell): 260
Energy of formation from the pure elements (eV per atom): 0.019
Raw total energy (eV per atom): -4.64
E above lowest polymorph (meV/atom): 0
Density of states at the Fermi level (states/eV per atom): 1.46

***

[8]
## Pm3Nd6Er (PBE)

Data for a relaxed Pm3Nd6Er crystal.

Geometry as POSCAR:
```
Pm3Nd6Er
1.0
-5.606 2.823 1.744
-5.396 -5.935 -7.738
1.247 -3.923 10.358
Pm Nd Er
6 12 2
Cartesian
-6.804 -7.075 0.867
-8.059 -5.195 5.954
-1.767 -4.467 3.538
-6.102 -3.519 0.239
-5.348 1.247 4.242
-4.092 -0.633 -0.845
-3.381 -6.532 1.094
-5.626 -4.951 3.489
-3.701 -5.767 6.339
-9.281 -5.196 -0.354
-7.212 -4.835 -6.476
-4.258 -2.640 6.466
-4.405 -4.945 -2.442
-3.832 -1.551 11.241
-1.772 -1.185 5.121
-7.352 -0.614 -1.571
-1.967 -3.173 0.202
-4.211 -1.592 2.596
-0.663 -3.989 7.084
-7.561 -3.817 -3.197
```

## Properties
Symmetry: Cmc2_1 (36)
Size of the total moment (μB per cell): 0.0
Volume (Å³/cell): 695
Energy of formation from the pure elements (eV per atom): 0.135
Raw total energy (eV per atom): -4.61
E above lowest polymorph (meV/atom): 0
Density of states at the Fermi level (states/eV per atom): 1.31

***

[9]
## Pm4Nd2Er3 (PBE)

Data for a relaxed Pm4Nd2Er3 crystal.

Geometry as POSCAR:
```
Pm4Nd2Er3
1.0
3.624 0.000 0.000
-1.812 3.139 0.000
0.000 0.000 26.818
Pm Nd Er
4 2 3
Cartesian
0.000 0.000 14.626
1.812 1.046 11.604
1.812 1.046 5.918
0.000 0.000 20.366
1.812 1.046 2.324
1.812 1.046 23.418
0.000 0.000 26.325
0.000 0.000 8.717
1.812 1.046 17.499
```

## Properties
Symmetry: P3m1 (156)
Size of the total moment (μB per cell): 0.0
Volume (Å³/cell): 305
Energy of formation from the pure elements (eV per atom): 0.052
Raw total energy (eV per atom): -4.64
E above lowest polymorph (meV/atom): 0
Density of states at the Fermi level (states/eV per atom): 1.83

***

[10]
## Pm2Nd6Er (PBE)

Data for a relaxed Pm2Nd6Er crystal.

Geometry as POSCAR:
```
Pm2Nd6Er
1.0
6.269 -0.132 -0.128
1.154 10.068 1.470
1.154 1.796 10.015
Pm Nd Er
4 12 2
Cartesian
4.178 7.035 8.477
1.265 3.097 4.664
4.400 4.696 2.881
7.313 8.634 6.693
4.315 7.600 5.032
1.128 6.523 3.989
4.263 4.132 6.326
7.450 5.209 7.369
4.563 1.286 3.522
7.150 8.104 10.122
4.015 10.446 7.836
1.428 3.628 1.235
2.896 7.495 1.298
2.548 10.257 3.973
5.682 4.237 10.059
6.030 1.474 7.385
2.722 2.587 9.131
5.856 9.144 2.226
```

## Properties
Symmetry: C2/c (15)
Size of the total moment (μB per cell): 0.0
Volume (Å³/cell): 618
Energy of formation from the pure elements (eV per atom): 0.081
Raw total energy (eV per atom): -4.66
E above lowest polymorph (meV/atom): 0
Density of states at the Fermi level (states/eV per atom): 1.41